# SrLiZnPd2

A relaxed structure of SrLiZnPd2 (PBE, Alexandria).

a b c (Å): 4.226 4.226 11.326
angles (deg): 90.00 90.00 90.00
Space group I-4m2 (No. 119)
One atom of each set of equivalent atoms:
Sr1 0.000 0.000 0.000 [2 per cell]
Li1 0.000 0.500 0.250 [2 per cell]
Zn1 0.000 0.500 0.750 [2 per cell]
Pd1 0.000 0.000 0.382 [4 per cell]

## Properties
The calculation puts the formation energy at -0.523 eV/atom. As for the volume: 202 Å³ per cell. The density of states at the Fermi level is 3.62 states/eV/cell.